[1]
{"formula": "Pr2SmS3", "functional": "PBE-GGA", "state": "optimized geometry", "lattice": [[0.000, 5.759, 12.104], [4.113, 0.000, 12.104], [4.113, 5.759, 0.000]], "species": ["Pr", "Pr", "Pr", "Pr", "Pr", "Pr", "Pr", "Pr", "Sm", "Sm", "Sm", "Sm", "S", "S", "S", "S", "S", "S", "S", "S", "S", "S", "S", "S"], "frac_coords": [[0.043, 0.043, 0.207], [0.124, 0.124, 0.626], [0.207, 0.207, 0.043], [0.374, 0.374, 0.876], [0.626, 0.626, 0.124], [0.793, 0.793, 0.957], [0.876, 0.876, 0.374], [0.957, 0.957, 0.793], [0.292, 0.292, 0.458], [0.458, 0.458, 0.292], [0.542, 0.542, 0.708], [0.708, 0.708, 0.542], [0.040, 0.541, 0.216], [0.132, 0.618, 0.618], [0.216, 0.703, 0.040], [0.297, 0.784, 0.459], [0.382, 0.868, 0.868], [0.459, 0.960, 0.297], [0.541, 0.040, 0.703], [0.618, 0.132, 0.132], [0.703, 0.216, 0.541], [0.784, 0.297, 0.960], [0.868, 0.382, 0.382], [0.960, 0.459, 0.784]], "e_above_lowest_polymorph_mev_per_atom": 0, "volume_a3_per_cell": 573.46, "sg": "Fddd (70)", "e_form_raw_ev_per_atom": -2.02}

[2]
{"formula": "PrSm3S", "functional": "PBE-GGA", "state": "optimized geometry", "lattice": [[5.459, 0.000, 0.000], [0.000, 5.459, 0.000], [0.000, 0.000, 5.459]], "species": ["Pr", "Sm", "Sm", "Sm", "S"], "frac_coords": [[0.000, 0.000, 0.000], [0.000, 0.500, 0.500], [0.500, 0.000, 0.500], [0.500, 0.500, 0.000], [0.500, 0.500, 0.500]], "volume_a3_per_cell": 162.67, "sg": "Pm-3m (221)", "e_form_raw_ev_per_atom": -0.68}

[3]
{"formula": "Pr5Sm3S8", "functional": "PBE-GGA", "state": "optimized geometry", "lattice": [[4.069, 2.349, 6.657], [-4.069, 2.349, 6.657], [0.000, -4.698, 6.657]], "species": ["Pr", "Pr", "Pr", "Pr", "Pr", "Sm", "Sm", "Sm", "S", "S", "S", "S", "S", "S", "S", "S"], "frac_coords": [[0.000, 0.000, 0.000], [0.000, 0.500, 0.500], [0.500, 0.000, 0.500], [0.500, 0.500, 0.000], [0.500, 0.500, 0.500], [0.000, 0.000, 0.500], [0.000, 0.500, 0.000], [0.500, 0.000, 0.000], [0.244, 0.750, 0.750], [0.247, 0.247, 0.247], [0.250, 0.250, 0.756], [0.250, 0.756, 0.250], [0.750, 0.244, 0.750], [0.750, 0.750, 0.244], [0.753, 0.753, 0.753], [0.756, 0.250, 0.250]], "volume_a3_per_cell": 381.74, "sg": "R-3m (166)", "e_form_raw_ev_per_atom": -2.02}

[4]
{"formula": "PrSm3S4", "functional": "PBE-GGA", "state": "optimized geometry", "lattice": [[2.019, 1.166, 13.130], [-2.019, 1.166, 13.130], [0.000, -2.332, 13.130]], "species": ["Pr", "Sm", "Sm", "Sm", "S", "S", "S", "S"], "frac_coords": [[0.000, 0.000, 0.000], [0.249, 0.249, 0.249], [0.500, 0.500, 0.500], [0.751, 0.751, 0.751], [0.126, 0.126, 0.126], [0.377, 0.377, 0.377], [0.623, 0.623, 0.623], [0.874, 0.874, 0.874]], "e_above_lowest_polymorph_mev_per_atom": 0, "volume_a3_per_cell": 185.46, "sg": "R-3m (166)", "e_form_raw_ev_per_atom": -2.03}

[5]
{"formula": "PrSm5S8", "functional": "PBE-GGA", "state": "optimized geometry", "lattice": [[-4.350, 4.350, 4.137], [4.350, -4.350, 4.137], [4.350, 4.350, -4.137]], "species": ["Pr", "Sm", "Sm", "Sm", "Sm", "Sm", "S", "S", "S", "S", "S", "S", "S", "S"], "frac_coords": [[0.000, 0.000, 0.000], [0.124, 0.220, 0.593], [0.250, 0.750, 0.500], [0.470, 0.876, 0.097], [0.627, 0.530, 0.407], [0.780, 0.373, 0.903], [0.013, 0.617, 0.742], [0.241, 0.485, 0.114], [0.372, 0.127, 0.886], [0.383, 0.125, 0.395], [0.515, 0.628, 0.756], [0.730, 0.987, 0.605], [0.873, 0.759, 0.244], [0.875, 0.270, 0.258]], "volume_a3_per_cell": 313.16, "sg": "I-4 (82)", "e_form_raw_ev_per_atom": -2.02}

[6]
{"formula": "SrPrSm4S8", "functional": "PBE-GGA", "state": "optimized geometry", "lattice": [[4.168, 2.406, 6.854], [-4.168, 2.406, 6.854], [0.000, -4.812, 6.854]], "species": ["Sr", "Pr", "Sm", "Sm", "Sm", "Sm", "S", "S", "S", "S", "S", "S", "S", "S"], "frac_coords": [[0.000, 0.000, 0.000], [0.627, 0.627, 0.627], [0.120, 0.627, 0.627], [0.251, 0.251, 0.251], [0.627, 0.120, 0.627], [0.627, 0.627, 0.120], [0.380, 0.380, 0.854], [0.380, 0.854, 0.380], [0.383, 0.383, 0.383], [0.413, 0.866, 0.866], [0.854, 0.380, 0.380], [0.862, 0.862, 0.862], [0.866, 0.413, 0.866], [0.866, 0.866, 0.413]], "volume_a3_per_cell": 412.40, "sg": "R3m (160)", "e_form_raw_ev_per_atom": -1.97}

Which formula does entry 1 have?
Pr2SmS3

Repeat the fourth record exactly.
{"formula": "PrSm3S4", "functional": "PBE-GGA", "state": "optimized geometry", "lattice": [[2.019, 1.166, 13.130], [-2.019, 1.166, 13.130], [0.000, -2.332, 13.130]], "species": ["Pr", "Sm", "Sm", "Sm", "S", "S", "S", "S"], "frac_coords": [[0.000, 0.000, 0.000], [0.249, 0.249, 0.249], [0.500, 0.500, 0.500], [0.751, 0.751, 0.751], [0.126, 0.126, 0.126], [0.377, 0.377, 0.377], [0.623, 0.623, 0.623], [0.874, 0.874, 0.874]], "e_above_lowest_polymorph_mev_per_atom": 0, "volume_a3_per_cell": 185.46, "sg": "R-3m (166)", "e_form_raw_ev_per_atom": -2.03}

Repeat the fourth record exactly.
{"formula": "PrSm3S4", "functional": "PBE-GGA", "state": "optimized geometry", "lattice": [[2.019, 1.166, 13.130], [-2.019, 1.166, 13.130], [0.000, -2.332, 13.130]], "species": ["Pr", "Sm", "Sm", "Sm", "S", "S", "S", "S"], "frac_coords": [[0.000, 0.000, 0.000], [0.249, 0.249, 0.249], [0.500, 0.500, 0.500], [0.751, 0.751, 0.751], [0.126, 0.126, 0.126], [0.377, 0.377, 0.377], [0.623, 0.623, 0.623], [0.874, 0.874, 0.874]], "e_above_lowest_polymorph_mev_per_atom": 0, "volume_a3_per_cell": 185.46, "sg": "R-3m (166)", "e_form_raw_ev_per_atom": -2.03}